1.
A relaxed Sr2CaAl2As4 crystal. Source: the Alexandria database, functional GGA-PBE.

Computed properties:
Space-group type ... C2/m (12)
Density ... 4.1 g/cm3
Total magnetic moment ... 0.0 μB/f.u.
ΔE_f ... -8.4 eV per formula unit

a b c (Å): 4.106 7.575 8.145
angles (deg): 108.76 104.60 90.00
Fractional coordinates of all 9 atoms:
1 Sr 0.123 0.544 0.246
2 Sr 0.877 0.456 0.754
3 Ca 0.000 0.000 0.000
4 Al 0.671 0.980 0.341
5 Al 0.329 0.020 0.659
6 As 0.213 0.196 0.426
7 As 0.787 0.804 0.574
8 As 0.525 0.737 0.050
9 As 0.475 0.263 0.950



2.
A relaxed YGe2Bi crystal. Source: the Alexandria database, functional GGA-PBE.

Computed properties:
Space-group type ... P4/mmm (123)
Density ... 7.7 g/cm3
Total magnetic moment ... 0.0 μB/f.u.
ΔE_f ... -1.2 eV per formula unit

a b c (Å): 4.095 4.826 4.826
angles (deg): 90.00 90.00 90.00
Fractional coordinates of all 4 atoms:
1 Y 0.500 0.000 0.000
2 Ge 0.000 0.000 0.500
3 Ge 0.000 0.500 0.000
4 Bi 0.500 0.500 0.500